# MgSc2Fe

MgSc2Fe after structural relaxation (PBE, Alexandria).

Cell: 10.0938 10.0938 10.0938 Å, 17.95 17.95 17.95°
Fractional positions:
Sc 0.8947 0.8947 0.8947
Sc 0.1053 0.1053 0.1053
Mg 0.0000 0.0000 0.0000
Fe 0.5000 0.5000 0.5000

Its total energy is -21.8 eV for the cell shown.


# Tm6Tl3SeS2

Tm6Tl3SeS2 after structural relaxation (PBE, Alexandria).

Cell: 6.5753 6.5753 8.1814 Å, 97.67 97.67 119.98°
Fractional positions:
Tm 0.9310 0.5888 0.7916
Tm 0.7249 0.7249 0.2054
Tm 0.0690 0.4112 0.2084
Tm 0.5888 0.9310 0.7916
Tm 0.2751 0.2751 0.7946
Tm 0.4112 0.0690 0.2084
Tl 0.1612 0.8388 0.5000
Tl 0.8388 0.1612 0.5000
Tl 0.5000 0.5000 0.5000
Se 0.0000 0.0000 0.0000
S 0.3326 0.6674 0.0000
S 0.6674 0.3326 0.0000

As for the formation energy from raw total energies: -1.08 eV/atom.


# CsCo2H

CsCo2H after structural relaxation (PBE, Alexandria).

Cell: 5.6376 5.6376 5.6387 Å, 60.01 60.01 90.00°
Fractional positions:
Cs 0.0000 0.0000 0.0000
Cs 0.7500 0.2500 0.5000
H 0.5000 0.5000 0.0000
H 0.2500 0.7500 0.5000
Co 0.3750 0.1250 0.2500
Co 0.3750 0.6250 0.2500
Co 0.3750 0.6250 0.7500
Co 0.8750 0.6250 0.7500

Its total energy is -30.4 eV for the cell shown.


Number 1: DOS(E_F) 5.25 states/eV/f.u., V 85.25 Å³/cell. Number 2: DOS(E_F) 6.03 states/eV/f.u., V 295.31 Å³/cell. Number 3: DOS(E_F) 4.93 states/eV/f.u., V 126.75 Å³/cell.